Tl6SbCl12, optimized geometry, DFT GGA-PBE; magnetic moment = 0.00 Bohr magnetons per cell; space-group type = R-3 (148); energy = -56.46 eV/f.u.
1.0
9.030 -0.032 -0.038
-1.401 8.921 -0.038
-1.401 -1.632 8.771
Tl Sb Cl
6 1 12
direct
0.655 0.843 0.387
0.613 0.345 0.157
0.157 0.613 0.345
0.345 0.157 0.613
0.387 0.655 0.843
0.843 0.387 0.655
0.000 0.000 0.000
0.825 0.580 0.414
0.414 0.825 0.580
0.580 0.414 0.825
0.175 0.420 0.586
0.586 0.175 0.420
0.420 0.586 0.175
0.058 0.995 0.270
0.005 0.730 0.942
0.730 0.942 0.005
0.942 0.005 0.730
0.995 0.270 0.058
0.270 0.058 0.995